VASP calculation (PBE) on crystalline CoP2 at its relaxed geometry.

calculated volume	43	Å³/cell
electronic total energy	-6.044	eV/atom
ΔH_f (0 K)	-0.069	eV/atom

abc: 2.815 3.959 4.183
angles: 80.77 70.57 84.22
Fractional positions:
1 Co 0.016 0.669 0.798
2 P 0.724 0.550 0.370
3 P 0.466 0.115 0.753

VASP calculation (PBE) on crystalline Pm4Pr3Nd4 at its relaxed geometry.

calculated volume	394	Å³/cell
electronic total energy	-4.623	eV/atom
ΔH_f (0 K)	0.142	eV/atom
ΔE to the lowest computed polymorph	0	meV/atom

abc: 5.871 6.792 10.948
angles: 90.00 90.00 115.60
Fractional positions:
1 Pm 0.755 0.511 0.789
2 Pm 0.755 0.511 0.211
3 Pm 0.893 0.786 0.500
4 Pm 0.957 0.914 0.000
5 Pr 0.403 0.807 0.300
6 Pr 0.403 0.807 0.700
7 Pr 0.256 0.511 0.000
8 Nd 0.620 0.240 0.500
9 Nd 0.553 0.106 0.000
10 Nd 0.101 0.202 0.706
11 Nd 0.101 0.202 0.294

VASP calculation (PBE) on crystalline LaTlAgBr5 at its relaxed geometry.

calculated volume	630	Å³/cell
energy relative to the elements, uncorrected	-1281	meV/atom
electronic total energy	-3.594	eV/atom

abc: 8.117 8.117 10.939
angles: 102.68 102.68 109.21
Fractional positions:
1 La 0.000 0.000 0.500
2 La 0.000 0.000 0.000
3 Tl 0.363 0.637 0.250
4 Tl 0.637 0.363 0.750
5 Ag 0.687 0.313 0.250
6 Ag 0.313 0.687 0.750
7 Br 0.091 0.909 0.250
8 Br 0.909 0.091 0.750
9 Br 0.930 0.323 0.116
10 Br 0.070 0.677 0.884
11 Br 0.677 0.070 0.384
12 Br 0.323 0.930 0.616
13 Br 0.737 0.620 0.443
14 Br 0.263 0.380 0.557
15 Br 0.380 0.263 0.057
16 Br 0.620 0.737 0.943

Among the records above, which one has the highest electronic total energy?
LaTlAgBr5

calculated volume of number 3 (LaTlAgBr5)?
630 Å³/cell

The lowest electronic total energy belongs to which entry?
CoP2

electronic total energy of number 3 (LaTlAgBr5)?
-3.594 eV/atom